Entry 1:
AcAgBr6 after structural relaxation. Source: Alexandria via LeMat-Bulk, functional PBE-GGA.

Geometry as extended XYZ:
```
8
Lattice="-0.595 4.092 -2.589 -5.466 -0.754 -7.360 -4.169 4.232 6.117" Properties=species:S:1:pos:R:3 pbc="T T T"
Ac -5.115 3.785 -1.916
Ag 0.000 0.000 0.000
Br -4.686 2.923 0.996
Br -8.447 6.164 -4.881
Br -2.393 2.405 -3.025
Br -1.784 1.406 1.049
Br -5.545 4.647 -4.828
Br -7.838 5.165 -0.806
```

Values from the calculation:
* volume: 314.6 Å³ per cell
* energy relative to the elements, uncorrected: -8.40 eV per formula unit
* space group: No. 2

---

Entry 2:
Ac2AgBr after structural relaxation. Source: Alexandria via LeMat-Bulk, functional PBE-GGA.

Geometry as extended XYZ:
```
4
Lattice="-0.231 -2.663 -2.693 -0.045 -2.696 2.670 -8.918 0.458 0.313" Properties=species:S:1:pos:R:3 pbc="T T T"
Ac -6.888 0.354 0.242
Ac -2.029 0.104 0.071
Br -4.597 -2.450 0.145
Ag -0.138 -2.679 -0.012
```

Values from the calculation:
* volume: 128.6 Å³ per cell
* energy relative to the elements, uncorrected: -2.52 eV per formula unit
* space group: No. 123

---

Entry 3:
Ac2AgBr after structural relaxation. Source: Alexandria via LeMat-Bulk, functional PBE-GGA.

Geometry as extended XYZ:
```
4
Lattice="4.557 0.000 0.000 2.279 3.947 0.000 2.279 1.316 8.035" Properties=species:S:1:pos:R:3 pbc="T T T"
Ac 2.279 1.316 6.254
Ac 2.279 1.316 1.758
Ag 6.836 3.947 8.016
Br 4.557 2.631 4.059
```

Values from the calculation:
* volume: 144.5 Å³ per cell
* energy relative to the elements, uncorrected: -2.67 eV per formula unit
* space group: No. 160

---

Entry 4:
AcAgBr2 after structural relaxation. Source: Alexandria via LeMat-Bulk, functional PBE-GGA.

Geometry as extended XYZ:
```
4
Lattice="3.975 0.000 0.000 1.987 3.442 0.000 1.987 1.147 10.079" Properties=species:S:1:pos:R:3 pbc="T T T"
Ac 3.975 2.295 5.040
Br 1.987 1.147 7.244
Br 5.962 3.442 2.835
Ag 0.000 0.000 0.000
```

Values from the calculation:
* volume: 137.9 Å³ per cell
* energy relative to the elements, uncorrected: -3.33 eV per formula unit
* space group: No. 166

---

Entry 5:
AcAgBr4 after structural relaxation. Source: Alexandria via LeMat-Bulk, functional PBE-GGA.

Geometry as extended XYZ:
```
12
Lattice="-7.416 -3.824 -0.375 6.597 -4.795 1.805 -0.582 5.554 6.212" Properties=species:S:1:pos:R:3 pbc="T T T"
Ac -0.598 -6.292 1.044
Ac 2.614 -3.758 4.695
Ag -0.231 -2.425 0.402
Ag 2.982 0.109 4.054
Br 4.086 -1.534 6.054
Br -3.034 -1.174 4.846
Br -2.099 -3.862 1.940
Br -1.564 0.305 1.144
Br 0.712 0.958 5.676
Br -6.441 1.360 4.703
Br -5.381 -1.470 1.717
Br 1.534 -1.856 2.652
```

Values from the calculation:
* volume: 443.3 Å³ per cell
* energy relative to the elements, uncorrected: -8.45 eV per formula unit
* space group: No. 109

---

Entry 6:
Ac3Ag5Br12 after structural relaxation. Source: Alexandria via LeMat-Bulk, functional PBE-GGA.

Geometry as extended XYZ:
```
80
Lattice="15.063 0.000 0.000 -5.021 14.202 0.000 -5.021 -7.101 12.299" Properties=species:S:1:pos:R:3 pbc="T T T"
Ac 8.787 4.438 1.537
Ac 8.787 9.764 1.537
Ac -1.255 6.213 7.687
Ac 1.255 -0.888 4.612
Ac 11.298 0.000 3.075
Ac 1.255 7.101 3.075
Ac 3.766 0.000 9.224
Ac -6.276 7.101 9.224
Ac 3.766 7.989 7.687
Ac 6.276 0.888 4.612
Ac -3.766 -2.663 10.762
Ac -3.766 2.663 10.762
Ag -1.255 3.550 3.075
Ag -2.511 7.101 0.000
Ag 0.000 0.000 0.000
Ag 3.766 2.663 1.537
Ag 5.021 -3.550 6.150
Ag 5.021 7.101 0.000
Ag -3.766 7.989 4.612
Ag 6.276 -4.438 10.762
Ag 6.276 6.213 4.612
Ag 1.255 -3.550 9.224
Ag 3.766 10.651 3.075
Ag 2.511 3.550 6.150
Ag 7.532 0.000 0.000
Ag -2.511 -3.550 6.150
Ag -1.255 0.888 7.687
Ag -1.255 11.539 1.537
Ag -5.021 3.550 6.150
Ag 8.787 -0.888 7.687
Ag 1.255 4.438 10.762
Ag 6.276 3.550 9.224
Br 9.981 1.535 0.547
Br 0.061 4.792 5.094
Br 11.136 3.268 3.433
Br 6.438 2.212 1.603
Br 1.880 5.435 8.319
Br 10.566 7.068 2.170
Br -1.093 8.157 5.036
Br -3.928 11.990 1.603
Br 0.631 8.767 8.319
Br 7.008 7.134 2.170
Br 7.593 3.844 4.546
Br 7.593 12.667 0.547
Br -4.390 6.372 6.697
Br 3.034 5.239 1.114
Br -5.082 10.358 4.546
Br 2.572 -2.309 7.206
Br -0.631 0.937 2.717
Br 3.034 8.997 1.056
Br 6.438 10.934 3.433
Br -0.523 5.205 1.056
Br -3.142 8.038 9.582
Br 3.604 6.045 5.036
Br 6.901 7.830 6.697
Br 5.545 -1.862 11.186
Br 1.417 1.056 7.263
Br -1.880 -0.729 5.602
Br -0.523 8.963 1.114
Br -1.417 -3.833 8.867
Br 8.163 -0.937 2.717
Br 5.545 1.896 11.243
Br 1.987 -1.896 11.243
Br 2.450 9.410 5.094
Br 5.652 6.164 9.582
Br 10.103 -3.257 7.753
Br 9.411 0.729 5.602
Br -2.572 -5.566 11.752
Br 1.987 1.862 11.186
Br 4.390 -1.666 3.980
Br -1.987 -0.033 10.130
Br -2.572 3.257 7.753
Br 8.949 -4.889 10.696
Br 6.115 -1.056 7.263
Br -1.417 4.889 10.696
Br -5.545 0.033 10.130
Br 3.142 1.666 3.980
Br -6.115 3.833 8.867
Br 4.960 2.309 7.206
Br -4.960 5.566 11.752
```

Values from the calculation:
* volume: 2631.2 Å³ per cell
* energy relative to the elements, uncorrected: -20.98 eV per formula unit
* space group: No. 230

---

What did the second record say?
Ac2AgBr after structural relaxation. Source: Alexandria via LeMat-Bulk, functional PBE-GGA.

Geometry as extended XYZ:
```
4
Lattice="-0.231 -2.663 -2.693 -0.045 -2.696 2.670 -8.918 0.458 0.313" Properties=species:S:1:pos:R:3 pbc="T T T"
Ac -6.888 0.354 0.242
Ac -2.029 0.104 0.071
Br -4.597 -2.450 0.145
Ag -0.138 -2.679 -0.012
```

Values from the calculation:
* volume: 128.6 Å³ per cell
* energy relative to the elements, uncorrected: -2.52 eV per formula unit
* space group: No. 123

---

Copy entry 5 word for word.
AcAgBr4 after structural relaxation. Source: Alexandria via LeMat-Bulk, functional PBE-GGA.

Geometry as extended XYZ:
```
12
Lattice="-7.416 -3.824 -0.375 6.597 -4.795 1.805 -0.582 5.554 6.212" Properties=species:S:1:pos:R:3 pbc="T T T"
Ac -0.598 -6.292 1.044
Ac 2.614 -3.758 4.695
Ag -0.231 -2.425 0.402
Ag 2.982 0.109 4.054
Br 4.086 -1.534 6.054
Br -3.034 -1.174 4.846
Br -2.099 -3.862 1.940
Br -1.564 0.305 1.144
Br 0.712 0.958 5.676
Br -6.441 1.360 4.703
Br -5.381 -1.470 1.717
Br 1.534 -1.856 2.652
```

Values from the calculation:
* volume: 443.3 Å³ per cell
* energy relative to the elements, uncorrected: -8.45 eV per formula unit
* space group: No. 109

---

What is the formula in the fifth record?
AcAgBr4